{"formula": "Rb2HoCl5", "functional": "PBE-GGA", "state": "optimized geometry", "space_group": "No. 62", "relative_energy_ev_per_atom": 0.0000, "magnetic_moment_mub_per_fu": 0.00, "final_energy_ev_per_atom": -4.13, "lattice_angstrom": [[9.706, 0.000, 0.000], [0.000, 7.403, 0.000], [0.000, 0.000, 14.917]], "species": ["Rb", "Rb", "Rb", "Rb", "Rb", "Rb", "Rb", "Rb", "Ho", "Ho", "Ho", "Ho", "Cl", "Cl", "Cl", "Cl", "Cl", "Cl", "Cl", "Cl", "Cl", "Cl", "Cl", "Cl", "Cl", "Cl", "Cl", "Cl", "Cl", "Cl", "Cl", "Cl"], "frac_coords": [[0.024, 0.250, 0.214], [0.161, 0.750, 0.415], [0.339, 0.250, 0.915], [0.476, 0.750, 0.714], [0.524, 0.250, 0.286], [0.661, 0.750, 0.085], [0.839, 0.250, 0.585], [0.976, 0.750, 0.786], [0.185, 0.750, 0.061], [0.315, 0.250, 0.561], [0.685, 0.750, 0.439], [0.815, 0.250, 0.939], [0.000, 0.000, 0.000], [0.000, 0.500, 0.000], [0.039, 0.750, 0.206], [0.154, 0.506, 0.610], [0.154, 0.994, 0.610], [0.224, 0.250, 0.394], [0.276, 0.750, 0.894], [0.346, 0.006, 0.110], [0.346, 0.494, 0.110], [0.461, 0.250, 0.706], [0.500, 0.000, 0.500], [0.500, 0.500, 0.500], [0.539, 0.750, 0.294], [0.654, 0.506, 0.890], [0.654, 0.994, 0.890], [0.724, 0.250, 0.106], [0.776, 0.750, 0.606], [0.846, 0.006, 0.390], [0.846, 0.494, 0.390], [0.961, 0.250, 0.794]]}

{"formula": "LaPr2Nd2Ho", "functional": "PBE-GGA", "state": "optimized geometry", "space_group": "No. 26", "magnetic_moment_mub_per_fu": 0.00, "final_energy_ev_per_atom": -4.72, "formation_energy_mev_per_atom": 51, "lattice_angstrom": [[5.828, 0.000, 0.000], [0.000, 10.075, 0.000], [0.000, 0.000, 7.179]], "species": ["La", "La", "Pr", "Pr", "Pr", "Pr", "Nd", "Nd", "Nd", "Nd", "Ho", "Ho"], "frac_coords": [[0.000, 0.000, 0.000], [0.000, 0.000, 0.500], [0.000, 0.330, 0.250], [0.000, 0.670, 0.750], [0.500, 0.500, 0.000], [0.500, 0.500, 0.500], [0.000, 0.335, 0.750], [0.000, 0.665, 0.250], [0.500, 0.169, 0.250], [0.500, 0.831, 0.750], [0.500, 0.165, 0.750], [0.500, 0.835, 0.250]]}

{"formula": "LiCa2Ac", "functional": "PBE-GGA", "state": "optimized geometry", "space_group": "No. 123", "relative_energy_ev_per_atom": 0.0788, "magnetic_moment_mub_per_fu": 0.00, "final_energy_ev_per_atom": -2.38, "formation_energy_mev_per_atom": 125, "lattice_angstrom": [[5.078, 0.000, 0.000], [0.000, 5.078, 0.000], [0.000, 0.000, 5.919]], "species": ["Li", "Ca", "Ca", "Ac"], "frac_coords": [[0.000, 0.000, 0.000], [0.000, 0.500, 0.500], [0.500, 0.000, 0.500], [0.500, 0.500, 0.000]]}

{"formula": "TiMnFe2Ru", "functional": "PBE-GGA", "state": "optimized geometry", "space_group": "No. 123", "magnetic_moment_mub_per_fu": 2.53, "final_energy_ev_per_atom": -7.80, "formation_energy_mev_per_atom": 849, "lattice_angstrom": [[4.163, 0.000, 0.000], [0.000, 4.163, 0.000], [0.000, 0.000, 4.390]], "species": ["Ti", "Mn", "Fe", "Fe", "Ru"], "frac_coords": [[0.000, 0.000, 0.000], [0.500, 0.500, 0.500], [0.000, 0.500, 0.500], [0.500, 0.000, 0.500], [0.500, 0.500, 0.000]]}

{"formula": "Hf8C4N3", "functional": "PBE-GGA", "state": "optimized geometry", "space_group": "No. 12", "magnetic_moment_mub_per_fu": 0.00, "final_energy_ev_per_atom": -10.72, "lattice_angstrom": [[4.591, -4.601, 0.000], [4.591, 4.601, 0.000], [-4.584, 0.000, 4.609]], "species": ["Hf", "Hf", "Hf", "Hf", "Hf", "Hf", "Hf", "Hf", "C", "C", "C", "C", "N", "N", "N"], "frac_coords": [[0.244, 0.244, 0.486], [0.244, 0.756, 0.000], [0.246, 0.246, 0.000], [0.252, 0.748, 0.500], [0.748, 0.252, 0.500], [0.754, 0.754, 0.000], [0.756, 0.244, 0.000], [0.756, 0.756, 0.514], [0.000, 0.000, 0.000], [0.000, 0.500, 0.000], [0.500, 0.000, 0.000], [0.500, 0.500, 0.500], [0.000, 0.000, 0.500], [0.000, 0.500, 0.500], [0.500, 0.000, 0.500]]}

{"formula": "Ho2Zn5Ni4", "functional": "PBE-GGA", "state": "optimized geometry", "space_group": "No. 69", "magnetic_moment_mub_per_fu": 0.00, "final_energy_ev_per_atom": -3.85, "formation_energy_mev_per_atom": -334, "lattice_angstrom": [[0.000, 4.372, 7.872], [2.567, 0.000, 7.872], [2.567, 4.372, 0.000]], "species": ["Ho", "Ho", "Zn", "Zn", "Zn", "Zn", "Zn", "Ni", "Ni", "Ni", "Ni"], "frac_coords": [[0.140, 0.140, 0.860], [0.860, 0.860, 0.140], [0.000, 0.000, 0.500], [0.250, 0.250, 0.250], [0.500, 0.500, 0.000], [0.500, 0.500, 0.500], [0.750, 0.750, 0.750], [0.214, 0.529, 0.471], [0.471, 0.786, 0.214], [0.529, 0.214, 0.786], [0.786, 0.471, 0.529]]}

{"formula": "Pr2TlOs", "functional": "PBE-GGA", "state": "optimized geometry", "space_group": "No. 166", "relative_energy_ev_per_atom": 0.3165, "magnetic_moment_mub_per_fu": 0.00, "final_energy_ev_per_atom": -5.60, "formation_energy_mev_per_atom": 185, "lattice_angstrom": [[2.039, 1.177, 10.083], [-2.039, 1.177, 10.083], [0.000, -2.355, 10.083]], "species": ["Pr", "Pr", "Tl", "Os"], "frac_coords": [[0.115, 0.115, 0.115], [0.885, 0.885, 0.885], [0.000, 0.000, 0.000], [0.500, 0.500, 0.500]]}

{"formula": "SrSc2Zn", "functional": "PBE-GGA", "state": "optimized geometry", "space_group": "No. 139", "magnetic_moment_mub_per_fu": 0.65, "final_energy_ev_per_atom": -3.63, "formation_energy_mev_per_atom": 273, "lattice_angstrom": [[-2.342, 2.342, 4.786], [2.342, -2.342, 4.786], [2.342, 2.342, -4.786]], "species": ["Sr", "Sc", "Sc", "Zn"], "frac_coords": [[0.000, 0.000, 0.000], [0.250, 0.750, 0.500], [0.750, 0.250, 0.500], [0.500, 0.500, 0.000]]}

{"formula": "AcSmInPb", "functional": "PBE-GGA", "state": "optimized geometry", "space_group": "No. 216", "relative_energy_ev_per_atom": 0.0549, "magnetic_moment_mub_per_fu": 0.00, "final_energy_ev_per_atom": -4.24, "formation_energy_mev_per_atom": -421, "lattice_angstrom": [[0.000, 4.012, 4.012], [4.012, 0.000, 4.012], [4.012, 4.012, 0.000]], "species": ["Ac", "Sm", "In", "Pb"], "frac_coords": [[0.000, 0.000, 0.000], [0.500, 0.500, 0.500], [0.250, 0.250, 0.250], [0.750, 0.750, 0.750]]}

{"formula": "PrDyPt3", "functional": "PBE-GGA", "state": "optimized geometry", "space_group": "No. 63", "magnetic_moment_mub_per_fu": 0.00, "final_energy_ev_per_atom": -6.60, "formation_energy_mev_per_atom": -1099, "lattice_angstrom": [[1.952, -13.518, 0.000], [1.952, 13.518, 0.000], [0.000, 0.000, 4.287]], "species": ["Pr", "Pr", "Dy", "Dy", "Pt", "Pt", "Pt", "Pt", "Pt", "Pt"], "frac_coords": [[0.074, 0.926, 0.750], [0.926, 0.074, 0.250], [0.207, 0.793, 0.250], [0.793, 0.207, 0.750], [0.313, 0.687, 0.250], [0.375, 0.625, 0.750], [0.472, 0.528, 0.750], [0.528, 0.472, 0.250], [0.625, 0.375, 0.250], [0.687, 0.313, 0.750]]}

{"formula": "LiGa2Pd2", "functional": "PBE-GGA", "state": "optimized geometry", "space_group": "No. 127", "relative_energy_ev_per_atom": 0.0079, "magnetic_moment_mub_per_fu": 0.00, "final_energy_ev_per_atom": -4.28, "formation_energy_mev_per_atom": -608, "lattice_angstrom": [[7.339, 0.000, 0.000], [0.000, 7.339, 0.000], [0.000, 0.000, 2.927]], "species": ["Li", "Li", "Ga", "Ga", "Ga", "Ga", "Pd", "Pd", "Pd", "Pd"], "frac_coords": [[0.000, 0.000, 0.000], [0.500, 0.500, 0.000], [0.152, 0.348, 0.500], [0.348, 0.848, 0.500], [0.652, 0.152, 0.500], [0.848, 0.652, 0.500], [0.146, 0.646, 0.000], [0.354, 0.146, 0.000], [0.646, 0.854, 0.000], [0.854, 0.354, 0.000]]}

{"formula": "Dy6Cd2Pt", "functional": "PBE-GGA", "state": "optimized geometry", "space_group": "No. 14", "magnetic_moment_mub_per_fu": 0.00, "final_energy_ev_per_atom": -4.27, "formation_energy_mev_per_atom": -326, "lattice_angstrom": [[6.091, 0.000, 0.000], [0.000, 8.971, 0.000], [-5.463, 0.000, 9.358]], "species": ["Dy", "Dy", "Dy", "Dy", "Dy", "Dy", "Dy", "Dy", "Dy", "Dy", "Dy", "Dy", "Cd", "Cd", "Cd", "Cd", "Pt", "Pt"], "frac_coords": [[0.047, 0.184, 0.452], [0.047, 0.316, 0.952], [0.345, 0.672, 0.444], [0.345, 0.828, 0.944], [0.377, 0.031, 0.279], [0.377, 0.469, 0.779], [0.623, 0.531, 0.221], [0.623, 0.969, 0.721], [0.655, 0.172, 0.056], [0.655, 0.328, 0.556], [0.953, 0.684, 0.048], [0.953, 0.816, 0.548], [0.155, 0.118, 0.753], [0.155, 0.382, 0.253], [0.845, 0.618, 0.747], [0.845, 0.882, 0.247], [0.000, 0.000, 0.000], [0.000, 0.500, 0.500]]}

{"formula": "WAuCl", "functional": "PBE-GGA", "state": "optimized geometry", "space_group": "No. 156", "relative_energy_ev_per_atom": 0.0000, "magnetic_moment_mub_per_fu": 0.00, "final_energy_ev_per_atom": -5.77, "lattice_angstrom": [[2.992, 0.000, 0.000], [-1.496, 2.591, 0.000], [0.000, 0.000, 7.648]], "species": ["W", "Au", "Cl"], "frac_coords": [[0.000, 0.000, 0.000], [0.333, 0.667, 0.295], [0.667, 0.333, 0.770]]}

{"formula": "YZn4Ni", "functional": "PBE-GGA", "state": "optimized geometry", "space_group": "No. 216", "relative_energy_ev_per_atom": 0.1338, "magnetic_moment_mub_per_fu": 0.00, "final_energy_ev_per_atom": -3.07, "formation_energy_mev_per_atom": -183, "lattice_angstrom": [[0.000, 3.653, 3.653], [3.653, 0.000, 3.653], [3.653, 3.653, 0.000]], "species": ["Y", "Zn", "Zn", "Zn", "Zn", "Ni"], "frac_coords": [[0.000, 0.000, 0.000], [0.128, 0.624, 0.624], [0.624, 0.128, 0.624], [0.624, 0.624, 0.128], [0.624, 0.624, 0.624], [0.250, 0.250, 0.250]]}

{"formula": "TiGe2As", "functional": "PBE-GGA", "state": "optimized geometry", "space_group": "No. 122", "magnetic_moment_mub_per_fu": 0.00, "final_energy_ev_per_atom": -5.15, "formation_energy_mev_per_atom": 298, "lattice_angstrom": [[-3.037, 3.037, 5.439], [3.037, -3.037, 5.439], [3.037, 3.037, -5.439]], "species": ["Ti", "Ti", "Ge", "Ge", "Ge", "Ge", "As", "As"], "frac_coords": [[0.000, 0.000, 0.000], [0.750, 0.250, 0.500], [0.132, 0.625, 0.007], [0.375, 0.382, 0.507], [0.618, 0.125, 0.993], [0.875, 0.868, 0.493], [0.250, 0.750, 0.500], [0.500, 0.500, 0.000]]}

{"formula": "Mn2TlS4", "functional": "PBE-GGA", "state": "optimized geometry", "space_group": "No. 10", "relative_energy_ev_per_atom": 0.0000, "magnetic_moment_mub_per_fu": 5.10, "final_energy_ev_per_atom": -5.86, "lattice_angstrom": [[5.808, 0.000, 0.000], [0.000, 3.379, 0.000], [-0.247, 0.000, 7.762]], "species": ["Mn", "Mn", "Tl", "S", "S", "S", "S"], "frac_coords": [[0.000, 0.000, 0.000], [0.500, 0.500, 0.000], [0.000, 0.000, 0.500], [0.174, 0.500, 0.168], [0.328, 0.000, 0.832], [0.672, 0.000, 0.168], [0.826, 0.500, 0.832]]}

{"formula": "Tm3CdPb2", "functional": "PBE-GGA", "state": "optimized geometry", "space_group": "No. 71", "relative_energy_ev_per_atom": 0.0000, "magnetic_moment_mub_per_fu": 0.00, "final_energy_ev_per_atom": -4.02, "formation_energy_mev_per_atom": -391, "lattice_angstrom": [[-2.199, 2.288, 8.196], [2.199, -2.288, 8.196], [2.199, 2.288, -8.196]], "species": ["Tm", "Tm", "Tm", "Cd", "Pb", "Pb"], "frac_coords": [[0.000, 0.000, 0.000], [0.333, 0.833, 0.500], [0.667, 0.167, 0.500], [0.500, 0.500, 0.000], [0.143, 0.643, 0.500], [0.857, 0.357, 0.500]]}

{"formula": "Nd2NiAs4Ir3", "functional": "PBE-GGA", "state": "optimized geometry", "space_group": "No. 115", "magnetic_moment_mub_per_fu": 0.00, "final_energy_ev_per_atom": -6.79, "formation_energy_mev_per_atom": -740, "lattice_angstrom": [[4.329, 0.000, 0.000], [0.000, 4.329, 0.000], [0.000, 0.000, 9.869]], "species": ["Nd", "Nd", "Ni", "As", "As", "As", "As", "Ir", "Ir", "Ir"], "frac_coords": [[0.000, 0.500, 0.248], [0.500, 0.000, 0.752], [0.500, 0.500, 0.000], [0.000, 0.000, 0.500], [0.000, 0.500, 0.870], [0.500, 0.000, 0.130], [0.500, 0.500, 0.500], [0.000, 0.000, 0.000], [0.000, 0.500, 0.621], [0.500, 0.000, 0.379]]}

{"formula": "Zr3ScGe", "functional": "PBE-GGA", "state": "optimized geometry", "space_group": "No. 221", "relative_energy_ev_per_atom": 0.8999, "magnetic_moment_mub_per_fu": 0.00, "final_energy_ev_per_atom": -6.23, "formation_energy_mev_per_atom": 1090, "lattice_angstrom": [[4.979, 0.000, 0.000], [0.000, 4.979, 0.000], [0.000, 0.000, 4.979]], "species": ["Zr", "Zr", "Zr", "Sc", "Ge"], "frac_coords": [[0.000, 0.000, 0.500], [0.000, 0.500, 0.000], [0.500, 0.000, 0.000], [0.000, 0.000, 0.000], [0.500, 0.500, 0.500]]}

{"formula": "Nd4Dy4Er", "functional": "PBE-GGA", "state": "optimized geometry", "space_group": "No. 139", "relative_energy_ev_per_atom": 0.0000, "magnetic_moment_mub_per_fu": 0.00, "final_energy_ev_per_atom": -4.65, "formation_energy_mev_per_atom": 17, "lattice_angstrom": [[-5.405, 5.405, 2.536], [5.405, -5.405, 2.536], [5.405, 5.405, -2.536]], "species": ["Nd", "Nd", "Nd", "Nd", "Dy", "Dy", "Dy", "Dy", "Er"], "frac_coords": [[0.166, 0.166, 0.333], [0.166, 0.834, 0.000], [0.834, 0.166, 0.000], [0.834, 0.834, 0.667], [0.165, 0.500, 0.665], [0.500, 0.165, 0.665], [0.500, 0.835, 0.335], [0.835, 0.500, 0.335], [0.500, 0.500, 0.000]]}

{"formula": "VCoTc", "functional": "PBE-GGA", "state": "optimized geometry", "space_group": "No. 156", "relative_energy_ev_per_atom": 0.0970, "magnetic_moment_mub_per_fu": 0.00, "final_energy_ev_per_atom": -8.78, "formation_energy_mev_per_atom": 82, "lattice_angstrom": [[4.232, 0.000, 0.000], [-2.116, 3.665, 0.000], [0.000, 0.000, 2.519]], "species": ["V", "Co", "Tc"], "frac_coords": [[0.000, 0.000, 0.000], [0.333, 0.667, 0.500], [0.667, 0.333, 0.445]]}

{"formula": "Ca2RuPb2", "functional": "PBE-GGA", "state": "optimized geometry", "space_group": "No. 139", "relative_energy_ev_per_atom": 0.7795, "magnetic_moment_mub_per_fu": 1.31, "final_energy_ev_per_atom": -3.45, "formation_energy_mev_per_atom": 687, "lattice_angstrom": [[-2.137, 2.137, 7.440], [2.137, -2.137, 7.440], [2.137, 2.137, -7.440]], "species": ["Ca", "Ca", "Ru", "Pb", "Pb"], "frac_coords": [[0.250, 0.750, 0.500], [0.750, 0.250, 0.500], [0.000, 0.000, 0.000], [0.407, 0.407, 0.000], [0.593, 0.593, 0.000]]}

{"formula": "PPt", "functional": "PBE-GGA", "state": "optimized geometry", "space_group": "No. 83", "magnetic_moment_mub_per_fu": 0.00, "final_energy_ev_per_atom": -6.01, "formation_energy_mev_per_atom": -285, "lattice_angstrom": [[10.210, 0.000, 0.000], [0.000, 10.210, 0.000], [0.000, 0.000, 3.849]], "species": ["P", "P", "P", "P", "P", "P", "P", "P", "Pt", "Pt", "Pt", "Pt", "Pt", "Pt", "Pt", "Pt"], "frac_coords": [[0.090, 0.663, 0.000], [0.235, 0.373, 0.500], [0.337, 0.090, 0.000], [0.373, 0.765, 0.500], [0.627, 0.235, 0.500], [0.663, 0.910, 0.000], [0.765, 0.627, 0.500], [0.910, 0.337, 0.000], [0.119, 0.426, 0.000], [0.214, 0.609, 0.500], [0.391, 0.214, 0.500], [0.426, 0.881, 0.000], [0.574, 0.119, 0.000], [0.609, 0.786, 0.500], [0.786, 0.391, 0.500], [0.881, 0.574, 0.000]]}